# 1
A plane-wave DFT calculation with GGA-PBE was carried out for an optimized crystal structure of Ce2AgOs. Values from VASP.

Crystal system: trigonal

The structure in Quantum ESPRESSO input format:
```
&SYSTEM
  ibrav = 0, nat = 12, ntyp = 3
/
ATOMIC_SPECIES
Ce 140.12 Ce.upf
Ag 107.87 Ag.upf
Os 190.23 Os.upf
ATOMIC_POSITIONS angstrom
Ce 0.000 0.000 0.000
Ce 0.000 0.000 4.275
Ce 0.000 2.367 14.448
Ce 0.000 2.367 18.724
Ce 2.050 1.184 7.224
Ce 2.050 1.184 11.500
Ag 0.000 0.000 16.562
Ag 0.000 2.367 9.338
Ag 2.050 1.184 2.114
Os 0.000 0.000 12.987
Os 0.000 2.367 5.763
Os 2.050 1.184 20.211
CELL_PARAMETERS angstrom
4.100 0.000 0.000
-2.050 3.551 0.000
0.000 0.000 21.673
```

***

# 2
A plane-wave DFT calculation with GGA-PBE was carried out for an optimized crystal structure of Ce12AgOs6. Values from VASP.

Crystal system: trigonal

The structure in Quantum ESPRESSO input format:
```
&SYSTEM
  ibrav = 0, nat = 19, ntyp = 3
/
ATOMIC_SPECIES
Ce 140.12 Ce.upf
Ag 107.87 Ag.upf
Os 190.23 Os.upf
ATOMIC_POSITIONS angstrom
Ce -2.624 -3.418 3.028
Ce -4.272 -0.564 3.028
Ce 0.000 -2.107 1.548
Ce -1.825 1.054 1.548
Ce 1.825 1.054 1.548
Ce 2.624 -3.418 3.028
Ce -1.648 3.981 3.028
Ce 4.272 -0.564 3.028
Ce 1.648 3.981 3.028
Ce -1.825 -1.054 7.535
Ce 1.825 -1.054 7.535
Ce 0.000 2.107 7.535
Ag 0.000 0.000 4.541
Os -4.011 -2.316 5.206
Os 0.000 -4.632 3.877
Os -4.011 2.316 3.877
Os 4.011 -2.316 5.206
Os 0.000 4.632 5.206
Os 4.011 2.316 3.877
CELL_PARAMETERS angstrom
6.896 3.981 3.028
-6.896 3.981 3.028
0.000 -7.963 3.028
```

***

# 3
A plane-wave DFT calculation with GGA-PBE was carried out for an optimized crystal structure of Ce3AgOs. Values from VASP.

Excess energy over the best structure of this formula in the dataset, kJ/mol of formula units: 19
Crystal system: triclinic

The structure in Quantum ESPRESSO input format:
```
&SYSTEM
  ibrav = 0, nat = 10, ntyp = 3
/
ATOMIC_SPECIES
Ce 140.12 Ce.upf
Ag 107.87 Ag.upf
Os 190.23 Os.upf
ATOMIC_POSITIONS angstrom
Ce 1.257 1.578 0.843
Ce 1.734 3.095 6.342
Ce 3.520 5.612 4.292
Ce 4.523 2.553 3.799
Ce 6.310 5.069 1.749
Ce 6.786 6.587 7.248
Ag 3.563 3.714 1.034
Ag 4.480 4.451 7.057
Os 1.784 2.874 3.422
Os 6.260 5.291 4.669
CELL_PARAMETERS angstrom
5.490 0.000 0.000
1.910 5.403 0.000
0.644 2.761 8.091
```

***

# 4
A plane-wave DFT calculation with GGA-PBE was carried out for an optimized crystal structure of Ce4AgOs2. Values from VASP.

Crystal system: monoclinic

The structure in Quantum ESPRESSO input format:
```
&SYSTEM
  ibrav = 0, nat = 14, ntyp = 3
/
ATOMIC_SPECIES
Ce 140.12 Ce.upf
Ag 107.87 Ag.upf
Os 190.23 Os.upf
ATOMIC_POSITIONS angstrom
Ce 2.146 6.283 3.146
Ce -1.382 2.276 5.431
Ce 2.146 3.167 4.532
Ce 2.908 0.875 2.242
Ce 0.763 -2.276 2.285
Ce 0.763 -0.875 5.388
Ce 4.291 -3.167 1.386
Ce 4.291 -6.283 0.000
Ag 5.747 1.572 0.692
Ag 3.602 -1.572 3.837
Os 2.526 4.065 1.354
Os 0.381 0.915 3.173
Os 2.526 -0.915 0.027
Os 0.381 -4.065 4.500
CELL_PARAMETERS angstrom
4.291 -6.300 0.000
4.291 6.300 0.000
-4.290 0.000 6.292
```

***

# 5
A plane-wave DFT calculation with GGA-PBE was carried out for an optimized crystal structure of Ce6AgOs3. Values from VASP.

Crystal system: monoclinic

The structure in Quantum ESPRESSO input format:
```
&SYSTEM
  ibrav = 0, nat = 20, ntyp = 3
/
ATOMIC_SPECIES
Ce 140.12 Ce.upf
Ag 107.87 Ag.upf
Os 190.23 Os.upf
ATOMIC_POSITIONS angstrom
Ce -1.057 1.036 4.232
Ce -2.584 1.036 10.190
Ce 1.802 3.107 2.817
Ce 0.305 1.036 7.677
Ce 2.737 3.107 6.011
Ce 4.723 1.036 1.316
Ce 3.047 3.107 9.683
Ce 5.033 1.036 4.989
Ce 7.465 3.107 3.322
Ce 5.968 1.036 8.182
Ce 10.355 3.107 0.809
Ce 8.827 3.107 6.767
Ag -0.168 3.107 10.109
Ag 7.938 1.036 0.891
Os 0.332 1.036 1.780
Os -0.047 3.107 5.791
Os 4.634 3.107 3.179
Os 3.136 1.036 7.821
Os 7.817 1.036 5.208
Os 7.438 3.107 9.220
CELL_PARAMETERS angstrom
11.669 0.000 0.000
0.000 4.143 0.000
-3.899 0.000 11.000
```

***

# 6
A plane-wave DFT calculation with GGA-PBE was carried out for an optimized crystal structure of Ce3AgOs. Values from VASP.

Excess energy over the best structure of this formula in the dataset, kJ/mol of formula units: 0
Crystal system: triclinic

The structure in Quantum ESPRESSO input format:
```
&SYSTEM
  ibrav = 0, nat = 10, ntyp = 3
/
ATOMIC_SPECIES
Ce 140.12 Ce.upf
Ag 107.87 Ag.upf
Os 190.23 Os.upf
ATOMIC_POSITIONS angstrom
Ce -0.158 0.345 2.503
Ce -0.304 4.036 0.818
Ce -0.156 0.350 5.576
Ce 1.779 2.346 2.500
Ce 1.926 -1.341 7.258
Ce 1.780 2.351 5.574
Ag -1.097 2.932 4.037
Ag 2.719 -0.236 4.039
Os -0.818 -1.340 7.963
Os 2.440 4.036 0.113
CELL_PARAMETERS angstrom
5.485 0.000 0.000
-2.234 5.381 0.000
-1.630 -2.685 8.076
```

***

# 7
A plane-wave DFT calculation with GGA-PBE was carried out for an optimized crystal structure of Ce5AgOs2. Values from VASP.

Crystal system: orthorhombic

The structure in Quantum ESPRESSO input format:
```
&SYSTEM
  ibrav = 0, nat = 16, ntyp = 3
/
ATOMIC_SPECIES
Ce 140.12 Ce.upf
Ag 107.87 Ag.upf
Os 190.23 Os.upf
ATOMIC_POSITIONS angstrom
Ce 2.746 5.363 8.458
Ce 2.746 5.363 11.536
Ce 2.746 3.276 3.332
Ce 2.746 1.783 7.330
Ce 2.746 1.783 12.664
Ce 2.746 -1.783 0.666
Ce 2.746 -1.783 5.999
Ce 2.746 -3.276 9.997
Ce 2.746 -5.363 1.793
Ce 2.746 -5.363 4.872
Ag 2.746 0.035 3.332
Ag 2.746 -0.035 9.997
Os 2.746 4.214 0.807
Os 2.746 4.214 5.858
Os 2.746 -4.214 7.472
Os 2.746 -4.214 12.523
CELL_PARAMETERS angstrom
2.746 -6.081 0.000
2.746 6.081 0.000
0.000 0.000 13.330
```

***

# 8
A plane-wave DFT calculation with GGA-PBE was carried out for an optimized crystal structure of Ce6AgOs2. Values from VASP.

Crystal system: monoclinic

The structure in Quantum ESPRESSO input format:
```
&SYSTEM
  ibrav = 0, nat = 9, ntyp = 3
/
ATOMIC_SPECIES
Ce 140.12 Ce.upf
Ag 107.87 Ag.upf
Os 190.23 Os.upf
ATOMIC_POSITIONS angstrom
Ce 0.105 0.000 3.127
Ce 2.069 0.000 7.897
Ce 3.533 0.000 2.844
Ce 5.440 0.000 5.870
Ce 6.904 0.000 0.817
Ce 8.868 0.000 5.587
Ag 0.000 0.000 0.000
Os 2.063 0.000 5.379
Os 6.910 0.000 3.335
CELL_PARAMETERS angstrom
5.056 -2.460 0.000
5.056 2.460 0.000
-1.139 0.000 8.714
```

***

# 9
A plane-wave DFT calculation with GGA-PBE was carried out for an optimized crystal structure of Ce2AgOs. Values from VASP.

Crystal system: tetragonal

The structure in Quantum ESPRESSO input format:
```
&SYSTEM
  ibrav = 0, nat = 4, ntyp = 3
/
ATOMIC_SPECIES
Ce 140.12 Ce.upf
Ag 107.87 Ag.upf
Os 190.23 Os.upf
ATOMIC_POSITIONS angstrom
Ce 0.000 0.000 1.817
Ce 0.000 0.000 6.517
Ag 1.654 1.654 4.167
Os 1.654 1.654 0.000
CELL_PARAMETERS angstrom
3.308 0.000 0.000
0.000 3.308 0.000
0.000 0.000 8.333
```

***

# 10
A plane-wave DFT calculation with GGA-PBE was carried out for an optimized crystal structure of Ce2AgOs. Values from VASP.

Crystal system: trigonal

The structure in Quantum ESPRESSO input format:
```
&SYSTEM
  ibrav = 0, nat = 12, ntyp = 3
/
ATOMIC_SPECIES
Ce 140.12 Ce.upf
Ag 107.87 Ag.upf
Os 190.23 Os.upf
ATOMIC_POSITIONS angstrom
Ce 0.000 0.000 5.072
Ce 0.000 0.000 16.466
Ce 0.000 2.366 9.287
Ce 0.000 2.366 19.431
Ce 2.049 1.183 2.107
Ce 2.049 1.183 12.252
Ag 0.000 0.000 0.000
Ag 0.000 2.366 14.359
Ag 2.049 1.183 7.179
Os 0.000 0.000 10.769
Os 0.000 2.366 3.590
Os 2.049 1.183 17.949
CELL_PARAMETERS angstrom
4.098 0.000 0.000
-2.049 3.549 0.000
0.000 0.000 21.538
```

***

Number 1: volume 315.5 Å³ per cell, ΔH_f (0 K) -79 meV per atom, magnetic moment 2.0 μB per cell. Number 2: volume 498.7 Å³ per cell, ΔH_f (0 K) 35 meV per atom, magnetic moment 7.5 μB per cell. Number 3: volume 240.0 Å³ per cell, ΔH_f (0 K) -99 meV per atom, magnetic moment 1.7 μB per cell. Number 4: volume 340.1 Å³ per cell, ΔH_f (0 K) -140 meV per atom, magnetic moment 2.8 μB per cell. Number 5: volume 531.8 Å³ per cell, ΔH_f (0 K) -103 meV per atom, magnetic moment 6.8 μB per cell. Number 6: volume 238.4 Å³ per cell, ΔH_f (0 K) -139 meV per atom, magnetic moment 1.0 μB per cell. Number 7: volume 445.1 Å³ per cell, ΔH_f (0 K) -55 meV per atom, magnetic moment 6.7 μB per cell. Number 8: volume 216.8 Å³ per cell, ΔH_f (0 K) -172 meV per atom, magnetic moment 0.7 μB per cell. Number 9: volume 91.2 Å³ per cell, ΔH_f (0 K) -155 meV per atom, magnetic moment 1.1 μB per cell. Number 10: volume 313.3 Å³ per cell, ΔH_f (0 K) -79 meV per atom, magnetic moment 1.9 μB per cell.